1.
{
  "formula": "LiCdGa2Se",
  "functional": "GGA-PBE",
  "state": "optimized geometry",
  "lattice": [[-3.563, -0.570, -3.118], [-3.154, -0.599, 3.714], [-0.812, 4.699, 0.069]],
  "species": ["Ga", "Ga", "Cd", "Se", "Li"],
  "frac_coords": [[0.000, 0.000, 0.500], [0.500, 0.000, 0.000], [0.000, 0.500, 0.000], [0.500, 0.500, 0.500], [0.000, 0.000, 0.000]],
  "spacegroup": "P4/mmm, No. 123",
  "final_energy_ev_per_atom": -2.278
}

2.
{
  "formula": "SrTlTe2N",
  "functional": "GGA-PBE",
  "state": "optimized geometry",
  "lattice": [[5.957, 0.000, 0.000], [0.000, 5.957, 0.000], [0.000, 0.000, 4.497]],
  "species": ["Te", "Te", "Sr", "Tl", "N"],
  "frac_coords": [[0.000, 0.500, 0.000], [0.500, 0.000, 0.000], [0.500, 0.500, 0.500], [0.000, 0.000, 0.000], [0.000, 0.000, 0.500]],
  "spacegroup": "P4/mmm, No. 123",
  "final_energy_ev_per_atom": -3.472,
  "e_above_lowest_polymorph_mev_per_atom": 0
}

3.
{
  "formula": "Na2Eu",
  "functional": "GGA-PBE",
  "state": "optimized geometry",
  "lattice": [[6.934, 0.000, 0.000], [3.467, 6.005, 0.000], [3.467, 2.002, 5.661]],
  "species": ["Na", "Na", "Na", "Na", "Eu", "Eu"],
  "frac_coords": [[0.625, 0.125, 0.625], [0.625, 0.625, 0.125], [0.125, 0.625, 0.625], [0.625, 0.625, 0.625], [0.000, 0.000, 0.000], [0.250, 0.250, 0.250]],
  "spacegroup": "Fd-3m, No. 227",
  "final_energy_ev_per_atom": -4.242,
  "e_above_lowest_polymorph_mev_per_atom": 0
}

4.
{
  "formula": "SmSn2As2Pd7",
  "functional": "GGA-PBE",
  "state": "optimized geometry",
  "lattice": [[4.229, 0.013, 0.207], [0.018, 4.229, 0.207], [2.723, 2.720, 12.893]],
  "species": ["Pd", "Pd", "Pd", "Pd", "Pd", "Pd", "Pd", "Sn", "Sn", "As", "As", "Sm"],
  "frac_coords": [[0.251, 0.251, 0.471], [0.500, 0.500, 0.000], [0.368, 0.864, 0.167], [0.632, 0.136, 0.833], [0.136, 0.632, 0.833], [0.749, 0.749, 0.529], [0.864, 0.368, 0.167], [0.726, 0.726, 0.337], [0.274, 0.274, 0.663], [0.274, 0.274, 0.282], [0.726, 0.726, 0.718], [0.000, 0.000, 0.000]],
  "spacegroup": "C2/m, No. 12",
  "final_energy_ev_per_atom": -5.310
}

5.
{
  "formula": "Mo2Pd",
  "functional": "GGA-PBE",
  "state": "optimized geometry",
  "lattice": [[-3.351, -3.680, 1.424], [0.264, -2.043, 4.749], [-3.682, 1.059, 3.482]],
  "species": ["Pd", "Pd", "Mo", "Mo", "Mo", "Mo"],
  "frac_coords": [[0.250, 0.250, 0.250], [0.000, 0.000, 0.000], [0.625, 0.125, 0.625], [0.125, 0.625, 0.625], [0.625, 0.625, 0.625], [0.625, 0.625, 0.125]],
  "spacegroup": "Fd-3m, No. 227",
  "final_energy_ev_per_atom": -8.697
}

6.
{
  "formula": "NaPr2Au4",
  "functional": "GGA-PBE",
  "state": "optimized geometry",
  "lattice": [[4.590, 0.000, 1.434], [2.071, 4.096, 1.434], [-0.452, -0.278, 9.511]],
  "species": ["Au", "Au", "Au", "Au", "Pr", "Pr", "Na"],
  "frac_coords": [[0.865, 0.865, 0.405], [0.363, 0.363, 0.910], [0.637, 0.637, 0.090], [0.135, 0.135, 0.595], [0.247, 0.247, 0.259], [0.753, 0.753, 0.741], [0.000, 0.000, 0.000]],
  "spacegroup": "R-3m, No. 166",
  "final_energy_ev_per_atom": -3.960
}

7.
{
  "formula": "AcTbSmPu",
  "functional": "GGA-PBE",
  "state": "optimized geometry",
  "lattice": [[5.816, 0.000, 0.000], [2.908, 5.037, 0.000], [2.908, 1.679, 4.749]],
  "species": ["Tb", "Pu", "Sm", "Ac"],
  "frac_coords": [[0.000, 0.000, 0.000], [0.750, 0.750, 0.750], [0.500, 0.500, 0.500], [0.250, 0.250, 0.250]],
  "spacegroup": "F-43m, No. 216",
  "final_energy_ev_per_atom": -6.681
}

8.
{
  "formula": "ScPaAlRe",
  "functional": "GGA-PBE",
  "state": "optimized geometry",
  "lattice": [[-4.013, -0.012, 2.493], [0.121, -0.721, 4.667], [-0.949, 3.553, 2.965]],
  "species": ["Al", "Re", "Sc", "Pa"],
  "frac_coords": [[0.750, 0.750, 0.750], [0.000, 0.000, 0.000], [0.500, 0.500, 0.500], [0.250, 0.250, 0.250]],
  "spacegroup": "F-43m, No. 216",
  "final_energy_ev_per_atom": -8.213
}

In order of appearance, density of states at the Fermi level = 3.119, 2.826, 11.826, 4.235, 2.404, 3.627, 15.495, 0.450 states/eV/f.u..
In order of appearance, spin magnetization = 0.00, 2.09, 15.76, 0.00, 0.00, 0.00, 7.05, 0.00 Bohr magnetons per cell.